Computed, not measured: a relaxed structure of LiAcTbMg at the GGA-PBE level of DFT.

Final energy ... -3.015 eV per atom
D(E_F) ... 6.1 states/eV/f.u.
Magnetic moment ... 0.0 μB/cell

Cell lengths 5.580, 5.580, 5.580 Å; angles 60.00, 60.00, 60.00 degrees
Atoms (fractional coordinates):
Ac 0.000 0.000 0.000
Tb 0.500 0.500 0.500
Mg 0.750 0.750 0.750
Li 0.250 0.250 0.250